#a
Computed, not measured: a geometry-optimized Ga3FeO structure at the PBE+U level of DFT.

Unit cell a=4.4452 b=4.4452 c=4.4452 alpha=90.00 beta=90.00 gamma=90.00
Fractional coordinates of all 5 atoms:
1 Ga 0.0000 0.0000 0.5000
2 Ga 0.0000 0.5000 0.0000
3 Ga 0.5000 0.0000 0.0000
4 Fe 0.5000 0.5000 0.5000
5 O 0.0000 0.0000 0.0000

#b
Computed, not measured: a geometry-optimized Ga3FeO structure at the PBE+U level of DFT.

Unit cell a=4.8305 b=4.8305 c=4.8305 alpha=90.00 beta=90.00 gamma=90.00
Fractional coordinates of all 5 atoms:
1 Ga 0.0000 0.0000 0.5000
2 Ga 0.0000 0.5000 0.0000
3 Ga 0.5000 0.0000 0.0000
4 Fe 0.0000 0.0000 0.0000
5 O 0.5000 0.5000 0.5000

Ranking the structures above by energy, #a is first and the second is 449 meV/atom behind.